# La2CoMo2 (SCAN, single point on PBEsol structure)
data_La2CoMo2
_chemical_formula_sum 'La4 Co2 Mo4'
_cell_length_a 4.486
_cell_length_b 4.486
_cell_length_c 11.123
_cell_angle_alpha 90.00
_cell_angle_beta 90.00
_cell_angle_gamma 90.00
_symmetry_space_group_name_H-M 'I 4/m m m'
_symmetry_Int_Tables_number 139
_symmetry_space_group_name_Hall '-I 4 2'
loop_
_atom_site_label
_atom_site_type_symbol
_atom_site_fract_x
_atom_site_fract_y
_atom_site_fract_z
La1 La 0.000 0.500 0.250
Co1 Co 0.000 0.000 0.000
Mo1 Mo 0.000 0.000 0.401
# **DFT formation energy**: 1.52 eV/atom